Entry from Alexandria via LeMat-Bulk: a relaxed ZnSb2TeF crystal (PBE).

The structure in POSCAR format:
```
ZnSb2TeF
1.0
5.2060 0.0000 0.0000
0.0000 5.2060 0.0000
0.0000 0.0000 5.2156
F Sb Zn Te
1 2 1 1
direct
0.5000 0.5000 0.5000 F
0.5000 0.0000 0.0000 Sb
0.0000 0.5000 0.0000 Sb
0.0000 0.0000 0.0000 Zn
0.0000 0.0000 0.5000 Te
```

Total moment = 0.00 μB/f.u.
Offset from the most stable computed form = 0.97 eV per formula unit
Energy relative to the elements, uncorrected = 0.24 eV per atom